[1]
# PBE KTmCdS3, relaxed
# Total DFT energy (no corrections)   -4.53 eV/atom
# Crystal system   monoclinic
# Fermi-level density of states   0.00 states/eV per atom
# Total moment   0.000 μB/f.u.
data_KTmCdS3
_chemical_formula_sum 'K2 Tm2 Cd2 S6'
_symmetry_space_group_name_H-M 'P 1 21/m 1'
_symmetry_Int_Tables_number 11
_symmetry_space_group_name_Hall '-P 2yb'
_cell_length_a 8.546
_cell_length_b 4.086
_cell_length_c 10.022
_cell_angle_alpha 90.00
_cell_angle_beta 108.16
_cell_angle_gamma 90.00
loop_
_atom_site_label
_atom_site_type_symbol
_atom_site_fract_x
_atom_site_fract_y
_atom_site_fract_z
K1 K 0.213 0.250 0.220
Tm1 Tm 0.331 0.750 0.866
Cd1 Cd 0.084 0.250 0.613
S1 S 0.113 0.250 0.868
S2 S 0.231 0.750 0.554
S3 S 0.462 0.750 0.143

[2]
# PBE KUCdS4, relaxed
# Total DFT energy (no corrections)   -5.30 eV/atom
# Crystal system   orthorhombic
# Fermi-level density of states   0.57 states/eV per atom
# Total moment   1.000 μB/f.u.
data_KUCdS4
_chemical_formula_sum 'K4 U4 Cd4 S16'
_symmetry_space_group_name_H-M 'I m m a'
_symmetry_Int_Tables_number 74
_symmetry_space_group_name_Hall '-I 2b 2'
_cell_length_a 7.844
_cell_length_b 8.212
_cell_length_c 12.745
_cell_angle_alpha 90.00
_cell_angle_beta 90.00
_cell_angle_gamma 90.00
loop_
_atom_site_label
_atom_site_type_symbol
_atom_site_fract_x
_atom_site_fract_y
_atom_site_fract_z
K1 K 0.000 0.250 0.155
U1 U 0.000 0.000 0.500
Cd1 Cd 0.250 0.250 0.750
S1 S 0.000 0.040 0.706
S2 S 0.211 0.250 0.499

[3]
# PBE K3U3CdS8, relaxed
# Total DFT energy (no corrections)   -6.03 eV/atom
# Crystal system   trigonal
# Fermi-level density of states   0.71 states/eV per atom
# Total moment   7.000 μB/f.u.
data_K3U3CdS8
_chemical_formula_sum 'K9 U9 Cd3 S24'
_symmetry_space_group_name_H-M 'R -3 m'
_symmetry_Int_Tables_number 166
_symmetry_space_group_name_Hall '-R 3 2"'
_cell_length_a 7.9937
_cell_length_b 7.9937
_cell_length_c 22.4909
_cell_angle_alpha 90.00
_cell_angle_beta 90.00
_cell_angle_gamma 120.00
loop_
_atom_site_label
_atom_site_type_symbol
_atom_site_fract_x
_atom_site_fract_y
_atom_site_fract_z
K1 K 0.0000 0.5000 0.0000
U1 U 0.0000 0.5000 0.5000
Cd1 Cd 0.0000 0.0000 0.5000
S1 S 0.0000 0.0000 0.2341
S2 S 0.0078 0.5039 0.7671

[4]
# PBE K2UCdS5, relaxed
# Total DFT energy (no corrections)   -4.94 eV/atom
# Crystal system   orthorhombic
# Fermi-level density of states   0.39 states/eV per atom
# Total moment   0.548 μB/f.u.
data_K2UCdS5
_chemical_formula_sum 'K8 U4 Cd4 S20'
_symmetry_space_group_name_H-M 'C m c 21'
_symmetry_Int_Tables_number 36
_symmetry_space_group_name_Hall 'C 2c -2'
_cell_length_a 4.067
_cell_length_b 18.694
_cell_length_c 13.921
_cell_angle_alpha 90.00
_cell_angle_beta 90.00
_cell_angle_gamma 90.00
loop_
_atom_site_label
_atom_site_type_symbol
_atom_site_fract_x
_atom_site_fract_y
_atom_site_fract_z
K1 K 0.000 0.092 0.000
K2 K 0.000 0.124 0.648
U1 U 0.000 0.219 0.359
Cd1 Cd 0.000 0.433 0.770
S1 S 0.000 0.082 0.385
S2 S 0.000 0.274 0.978
S3 S 0.000 0.290 0.737
S4 S 0.000 0.348 0.337
S5 S 0.000 0.498 0.621

[5]
# PBE K4U3CdS8, relaxed
# Total DFT energy (no corrections)   -5.79 eV/atom
# Crystal system   trigonal
# Fermi-level density of states   0.81 states/eV per atom
# Total moment   7.993 μB/f.u.
data_K4U3CdS8
_chemical_formula_sum 'K12 U9 Cd3 S24'
_symmetry_space_group_name_H-M 'R -3 m'
_symmetry_Int_Tables_number 166
_symmetry_space_group_name_Hall '-R 3 2"'
_cell_length_a 8.0993
_cell_length_b 8.0993
_cell_length_c 22.2240
_cell_angle_alpha 90.00
_cell_angle_beta 90.00
_cell_angle_gamma 120.00
loop_
_atom_site_label
_atom_site_type_symbol
_atom_site_fract_x
_atom_site_fract_y
_atom_site_fract_z
K1 K 0.0000 0.0000 0.0000
K2 K 0.0000 0.5000 0.0000
U1 U 0.0000 0.5000 0.5000
Cd1 Cd 0.0000 0.0000 0.5000
S1 S 0.0000 0.0000 0.2344
S2 S 0.0052 0.5026 0.7656

[6]
# PBE K2CdWS4, relaxed
# Total DFT energy (no corrections)   -4.76 eV/atom
# Crystal system   orthorhombic
# Total moment   0.000 μB/f.u.
data_K2CdWS4
_chemical_formula_sum 'K16 Cd8 W8 S32'
_symmetry_space_group_name_H-M 'F d d d'
_symmetry_Int_Tables_number 70
_cell_length_a 7.407
_cell_length_b 12.469
_cell_length_c 23.379
_cell_angle_alpha 90.00
_cell_angle_beta 90.00
_cell_angle_gamma 90.00
loop_
_symmetry_equiv_pos_as_xyz
'x,y,z'
'-x,-y,-z'
'-x+1/4,-y+1/4,z'
'x+1/4,y+1/4,-z'
'x,-y+1/4,-z+1/4'
'-x,y+1/4,z+1/4'
'-x+1/4,y,-z+1/4'
'x+1/4,-y,z+1/4'
'x,y+1/2,z+1/2'
'-x,-y+1/2,-z+1/2'
'-x+1/4,-y+3/4,z+1/2'
'x+1/4,y+3/4,-z+1/2'
'x,-y+3/4,-z+3/4'
'-x,y+3/4,z+3/4'
'-x+1/4,y+1/2,-z+3/4'
'x+1/4,-y+1/2,z+3/4'
'x+1/2,y,z+1/2'
'-x+1/2,-y,-z+1/2'
'-x+3/4,-y+1/4,z+1/2'
'x+3/4,y+1/4,-z+1/2'
'x+1/2,-y+1/4,-z+3/4'
'-x+1/2,y+1/4,z+3/4'
'-x+3/4,y,-z+3/4'
'x+3/4,-y,z+3/4'
'x+1/2,y+1/2,z'
'-x+1/2,-y+1/2,-z'
'-x+3/4,-y+3/4,z'
'x+3/4,y+3/4,-z'
'x+1/2,-y+3/4,-z+1/4'
'-x+1/2,y+3/4,z+1/4'
'-x+3/4,y+1/2,-z+1/4'
'x+3/4,-y+1/2,z+1/4'
loop_
_atom_site_label
_atom_site_type_symbol
_atom_site_fract_x
_atom_site_fract_y
_atom_site_fract_z
K1 K 0.125 0.125 0.312
Cd1 Cd 0.125 0.125 0.125
W1 W 0.125 0.125 0.625
S1 S 0.065 0.277 0.823